[1]
Compound: Na4InHg
Source: Alexandria via LeMat-Bulk
Functional: PBE
Structure: relaxed

Unit cell a=6.289 b=6.289 c=6.289 alpha=60.00 beta=60.00 gamma=60.00
Fractional coordinates of all 6 atoms:
Na1 0.625 0.625 0.625
Na2 0.625 0.125 0.625
Na3 0.625 0.625 0.125
Na4 0.125 0.625 0.625
Hg1 0.000 0.000 0.000
In1 0.250 0.250 0.250

Calculated values
crystal system	cubic
ΔE_f	0.3	eV per formula unit

[2]
Compound: Zr4In3H2
Source: Alexandria via LeMat-Bulk
Functional: PBE
Structure: relaxed

Unit cell a=4.062 b=5.551 c=7.730 alpha=96.34 beta=90.00 gamma=111.46
Fractional coordinates of all 9 atoms:
In1 0.419 0.837 0.279
In2 0.581 0.163 0.721
In3 0.000 0.000 0.000
Zr1 0.863 0.727 0.586
Zr2 0.291 0.582 0.866
Zr3 0.137 0.273 0.414
Zr4 0.709 0.418 0.134
H1 0.298 0.597 0.598
H2 0.702 0.403 0.402

Calculated values
calculated total energy	-5.826	eV per atom
crystal system	monoclinic

[3]
Compound: Sm3Ga
Source: Alexandria via LeMat-Bulk
Functional: PBE
Structure: relaxed

Unit cell a=4.722 b=4.722 c=5.991 alpha=113.21 beta=113.21 gamma=90.00
Fractional coordinates of all 4 atoms:
Sm1 0.750 0.250 0.500
Sm2 0.250 0.750 0.500
Sm3 0.500 0.500 0.000
Ga1 0.000 0.000 0.000

Calculated values
crystal system	tetragonal
ΔE_f	-0.8	eV per formula unit

[4]
Compound: Tb3ZnPt12
Source: Alexandria via LeMat-Bulk
Functional: PBE
Structure: relaxed

Unit cell a=4.102 b=4.102 c=16.181 alpha=90.00 beta=90.00 gamma=90.00
Fractional coordinates of all 16 atoms:
Tb1 0.000 0.000 0.243
Tb2 0.000 0.000 0.500
Tb3 0.000 0.000 0.757
Pt1 0.500 0.000 0.372
Pt2 0.500 0.000 0.114
Pt3 0.000 0.500 0.628
Pt4 0.500 0.000 0.886
Pt5 0.000 0.500 0.886
Pt6 0.500 0.500 0.500
Pt7 0.500 0.500 0.758
Pt8 0.500 0.500 0.242
Pt9 0.000 0.500 0.372
Pt10 0.500 0.000 0.628
Pt11 0.000 0.500 0.114
Pt12 0.500 0.500 0.000
Zn1 0.000 0.000 0.000

Calculated values
crystal system	tetragonal
ΔE_f	-13.4	eV per formula unit

[5]
Compound: MnInIr
Source: Alexandria via LeMat-Bulk
Functional: PBE
Structure: relaxed

Unit cell a=7.490 b=2.934 c=9.053 alpha=90.00 beta=99.32 gamma=90.00
Each line ends with the local moment (μB).
Fractional coordinates of all 12 atoms:
In1 0.785 0.500 0.228  -0.06
In2 0.029 0.500 0.518  -0.02
In3 0.029 0.000 0.018  -0.02
In4 0.785 0.000 0.728  -0.06
Mn1 0.626 0.000 0.978  2.89
Mn2 0.467 0.000 0.242  1.14
Mn3 0.626 0.500 0.478  2.89
Mn4 0.467 0.500 0.742  1.14
Ir1 0.365 0.500 0.007  0.00
Ir2 0.365 0.000 0.507  0.00
Ir3 0.194 0.000 0.764  -0.09
Ir4 0.194 0.500 0.264  -0.09

Calculated values
crystal system	monoclinic
ΔE_f	0.4	eV per formula unit

[6]
Compound: NaTlInPb
Source: Alexandria via LeMat-Bulk
Functional: PBE
Structure: relaxed

Unit cell a=5.450 b=5.450 c=5.450 alpha=60.00 beta=60.00 gamma=60.00
Fractional coordinates of all 4 atoms:
Na1 0.000 0.000 0.000
Tl1 0.250 0.250 0.250
In1 0.500 0.500 0.500
Pb1 0.750 0.750 0.750

Calculated values
crystal system	cubic
ΔE_f	-0.4	eV per formula unit

[7]
Compound: Li3GaAg4
Source: Alexandria via LeMat-Bulk
Functional: PBE
Structure: relaxed

Unit cell a=4.599 b=4.599 c=6.909 alpha=109.62 beta=109.44 gamma=90.00
Fractional coordinates of all 8 atoms:
Ag1 0.627 0.628 0.253
Ag2 0.873 0.873 0.747
Ag3 0.373 0.372 0.747
Ag4 0.127 0.127 0.253
Li1 0.255 0.754 0.509
Li2 0.745 0.246 0.491
Li3 0.000 0.500 0.000
Ga1 0.500 0.000 0.000

Calculated values
crystal system	monoclinic
ΔE_f	-1.7	eV per formula unit

[8]
Compound: Cs4AgI3
Source: Alexandria via LeMat-Bulk
Functional: PBE
Structure: relaxed

Unit cell a=5.530 b=9.601 c=9.601 alpha=109.44 beta=90.00 gamma=90.00
Fractional coordinates of all 8 atoms:
Cs1 0.500 0.751 0.249
Cs2 0.500 0.249 0.751
Cs3 0.000 0.249 0.249
Cs4 0.000 0.751 0.751
I1 0.500 0.500 0.500
I2 0.000 0.500 0.000
I3 0.000 0.000 0.500
Ag1 0.500 0.000 0.000

Calculated values
raw formation energy	-1.14	eV/atom
crystal system	orthorhombic

[9]
Compound: LaSc2Hg
Source: Alexandria via LeMat-Bulk
Functional: PBE
Structure: relaxed

Unit cell a=3.530 b=3.530 c=8.296 alpha=90.00 beta=90.00 gamma=90.00
Fractional coordinates of all 4 atoms:
Hg1 0.500 0.500 0.250
La1 0.500 0.500 0.750
Sc1 0.000 0.000 0.460
Sc2 0.000 0.000 0.040

Calculated values
crystal system	tetragonal
ΔE_f	-0.7	eV per formula unit

[10]
Compound: CdSbCI2
Source: Alexandria via LeMat-Bulk
Functional: PBE
Structure: relaxed

Unit cell a=5.869 b=5.869 c=5.662 alpha=90.00 beta=90.00 gamma=90.00
Each line ends with the local moment (μB).
Fractional coordinates of all 5 atoms:
I1 0.500 0.000 0.000  0.03
I2 0.000 0.500 0.000  0.03
Cd1 0.000 0.000 0.000  -0.01
Sb1 0.000 0.000 0.500  0.17
C1 0.500 0.500 0.500  0.95

Calculated values
raw formation energy	1.71	eV/atom
crystal system	tetragonal

[11]
Compound: BeRe2Sn
Source: Alexandria via LeMat-Bulk
Functional: PBE
Structure: relaxed

Unit cell a=4.387 b=4.387 c=4.387 alpha=60.00 beta=60.00 gamma=60.00
Fractional coordinates of all 4 atoms:
Re1 0.750 0.750 0.750
Re2 0.250 0.250 0.250
Sn1 0.500 0.500 0.500
Be1 0.000 0.000 0.000

Calculated values
crystal system	cubic
ΔE_f	2.5	eV per formula unit

[12]
Compound: SmSc5Rh6
Source: Alexandria via LeMat-Bulk
Functional: PBE
Structure: relaxed

Unit cell a=4.586 b=6.690 c=7.996 alpha=114.73 beta=106.67 gamma=90.00
Fractional coordinates of all 12 atoms:
Sc1 0.333 0.333 0.666
Sc2 0.667 0.667 0.334
Sc3 0.671 0.171 0.343
Sc4 0.329 0.829 0.657
Sc5 0.000 0.500 0.000
Rh1 0.830 0.574 0.660
Rh2 0.170 0.426 0.340
Rh3 0.830 0.086 0.660
Rh4 0.500 0.264 0.000
Rh5 0.500 0.736 0.000
Rh6 0.170 0.914 0.340
Sm1 0.000 0.000 0.000

Calculated values
crystal system	orthorhombic
ΔE_f	-11.3	eV per formula unit